# PBE with a Hubbard U AlV2FeO6, relaxed
data_AlV2FeO6
_chemical_formula_sum 'Al1 V2 Fe1 O6'
_cell_length_a 5.0607
_cell_length_b 5.0658
_cell_length_c 5.3954
_cell_angle_alpha 91.25
_cell_angle_beta 117.03
_cell_angle_gamma 119.15
_symmetry_space_group_name_H-M 'P 1'
_symmetry_Int_Tables_number 1
_symmetry_space_group_name_Hall 'P 1'
loop_
_atom_site_label
_atom_site_type_symbol
_atom_site_fract_x
_atom_site_fract_y
_atom_site_fract_z
_atom_site_occupancy
Al1 Al 0.0000 0.0000 0.0000 1
V1 V 0.5827 0.7888 0.3972 1
V2 V 0.6025 0.3010 0.9110 1
Fe1 Fe 0.0242 0.5051 0.5327 1
O1 O 0.0881 0.9072 0.6978 1
O2 O 0.1384 0.7329 0.1909 1
O3 O 0.4591 0.3843 0.1872 1
O4 O 0.5332 0.6029 0.7149 1
O5 O 0.7888 0.1769 0.7133 1
O6 O 0.8019 0.0743 0.1999 1
# total moment	7.00	μB/f.u.
# total DFT energy (no corrections)	-7.513	eV/atom